A plane-wave DFT calculation with PBE was carried out for a relaxed YBiB2 crystal.

Computed properties:
Raw total energy = -5.1889 eV/atom
Formation energy = 0.736 eV/atom

Lattice parameters (Å, degrees): 6.700 6.700 5.834 54.95 54.95 90.00
Positions (direct):
Y 0.250 0.750 0.500
Y 0.500 0.500 0.000
B 0.375 0.351 0.750
B 0.875 0.899 0.750
B 0.649 0.125 0.250
B 0.101 0.625 0.250
Bi 0.750 0.250 0.500
Bi 0.000 0.000 0.000


A plane-wave DFT calculation with PBE was carried out for a relaxed NdY2Ni2 crystal.

Computed properties:
Raw total energy = -6.1564 eV/atom
Formation energy = -0.305 eV/atom

Lattice parameters (Å, degrees): 3.689 4.380 7.608 106.73 90.00 90.00
Positions (direct):
Ni 0.000 0.802 0.604
Ni 0.000 0.198 0.396
Nd 0.000 0.000 0.000
Y 0.500 0.656 0.311
Y 0.500 0.344 0.689


A plane-wave DFT calculation with PBE was carried out for a relaxed NpZnI5 crystal.

Computed properties:
Raw total energy = -3.8246 eV/atom

Lattice parameters (Å, degrees): 8.196 8.197 11.877 112.51 112.52 86.85
Positions (direct):
I 0.270 0.305 0.961
I 0.195 0.230 0.539
I 0.730 0.695 0.039
I 0.420 0.080 0.250
I 0.805 0.770 0.461
I 0.842 0.266 0.167
I 0.580 0.920 0.750
I 0.158 0.734 0.833
I 0.765 0.343 0.667
I 0.235 0.657 0.333
Zn 0.120 0.380 0.750
Zn 0.880 0.620 0.250
Np 0.500 0.000 0.500
Np 0.500 0.000 0.000